The following is a GGA+U calculation of an optimized crystal structure of MnSnPtO6, from Alexandria via LeMat-Bulk.

```
MnSnPtO6
1.0
4.6409 0.0000 0.0000
0.0000 4.6409 0.0000
0.0000 0.0000 9.4795
Mn Sn Pt O
2 2 2 12
Direct
0.0000 0.0000 0.0000
0.5000 0.5000 0.5000
0.0000 0.0000 0.6677
0.5000 0.5000 0.1677
0.0000 0.0000 0.3346
0.5000 0.5000 0.8346
0.1841 0.1841 0.1623
0.1935 0.1935 0.8399
0.1992 0.1992 0.4982
0.3008 0.6992 0.9982
0.3065 0.6935 0.3399
0.3159 0.6841 0.6623
0.6841 0.3159 0.6623
0.6935 0.3065 0.3399
0.6992 0.3008 0.9982
0.8008 0.8008 0.4982
0.8065 0.8065 0.8399
0.8159 0.8159 0.1623
```

Summary:
**M_tot**: 3.07 μB per formula unit
**E**: -114.3 eV for the cell shown
**Space group**: No. 102